This record from Alexandria describes MgSi2Hg at its PBEsol-relaxed geometry. The functional is SCAN.

## Properties
Its crystal system is orthorhombic. As for the electronic total energy: -92.01 eV per cell. The calculation puts the energy relative to the elements, uncorrected at 0.2911 eV per atom. The space group is Pmmm (47).

Cell lengths 2.848, 5.010, 5.079 Å; angles 90.00, 90.00, 90.00 degrees
Fractional coordinates of all 4 atoms:
Hg  0.000  0.000  0.500
Mg  0.500  0.500  0.500
Si  0.000  0.745  0.000
Si  0.000  0.255  0.000